# TlTcO3 PBE relaxed
data_TlTcO3
_chemical_formula_sum 'Tl1 Tc1 O3'
_cell_length_a 3.9523
_cell_length_b 3.9523
_cell_length_c 3.9644
_cell_angle_alpha 90.00
_cell_angle_beta 90.00
_cell_angle_gamma 90.00
_symmetry_space_group_name_H-M 'P 4/m m m'
_symmetry_Int_Tables_number 123
_symmetry_space_group_name_Hall '-P 4 2'
loop_
_atom_site_label
_atom_site_fract_x
_atom_site_fract_y
_atom_site_fract_z
Tl1 0.0000 0.0000 0.0000
Tc1 0.5000 0.5000 0.5000
O1 0.0000 0.5000 0.5000
O2 0.5000 0.5000 0.0000
# Calculated total energy (eV per atom): -6.601